The following is a DFT calculation (PBE-GGA) of a relaxed ZnReSb2 crystal.

a = 7.813 Å, b = 7.813 Å, c = 7.813 Å
α = 155.46°, β = 153.87°, γ = 36.15°
Element x y z (fractional)
Sb 0.061 0.061 0.000
Sb 0.791 0.291 0.500
Zn 0.445 0.445 0.000
Re 0.203 0.703 0.500

Output
E = -20.2 eV/f.u.
Calculated volume = 87.1 Å³ per cell
Spin magnetization = 0.00 μB/cell